VASP calculation (PBE) on crystalline Cs3AgSb at its relaxed geometry.

a = 7.334 Å, b = 7.334 Å, c = 7.334 Å
α = 90.00°, β = 90.00°, γ = 90.00°
Each line ends with the local moment (μB).
Positions (direct):
Cs  0.000  0.500  0.000  0.02
Cs  0.000  0.000  0.500  0.03
Cs  0.500  0.000  0.000  0.01
Sb  0.000  0.000  0.000  0.31
Ag  0.500  0.500  0.500  0.00

Summary:
For the relative energy among the computed polymorphs, the calculation gives 0 meV per atom. Its final energy is -1.893 eV/atom. The space group is Pm-3m. The calculation puts the uncorrected formation energy at 0.01 eV per atom.